DFT (PBE) results for a relaxed structure of Ca2CrBOs.

The structure in extended XYZ format:
```
5
Lattice="5.0463 0.0000 0.0000 0.0000 5.0463 0.0000 0.0000 0.0000 3.9721" Properties=species:S:1:pos:R:3 pbc="T T T"
Ca 0.0000 2.5232 0.0000
Ca 2.5232 0.0000 0.0000
Cr 0.0000 0.0000 1.9861
B 0.0000 0.0000 0.0000
Os 2.5232 2.5232 1.9861
```

E_form   4.45 eV per formula unit
Density   5470 kg/m³
Calculated total energy   -27.1 eV/f.u.